No. 1
First-principles (SCAN) data for Ga2Bi2I at its PBEsol-relaxed geometry, as listed in Alexandria via LeMat-Bulk.

Output
Crystal system: tetragonal
Uncorrected energy in eV for the cell shown: -453.4

Cell and atoms, written as CIF:
```
data_Ga2Bi2I
_chemical_formula_sum 'Ga4 Bi4 I2'
_cell_length_a 4.102
_cell_length_b 4.102
_cell_length_c 16.758
_cell_angle_alpha 90.00
_cell_angle_beta 90.00
_cell_angle_gamma 90.00
_space_group_name_H-M_alt 'I 4/m m m'
_space_group_IT_number 139
_space_group_name_Hall '-I 4 2'
loop_
_atom_site_label
_atom_site_fract_x
_atom_site_fract_y
_atom_site_fract_z
_atom_site_occupancy
Ga1 0.000 0.500 0.250 1
Bi1 0.000 0.000 0.128 1
I1 0.000 0.000 0.500 1
```


No. 2
First-principles (SCAN) data for SiAu4 at its PBEsol-relaxed geometry, as listed in Alexandria via LeMat-Bulk.

Output
Crystal system: cubic
Uncorrected energy in eV for the cell shown: -574.1

Cell and atoms, written as CIF:
```
data_SiAu4
_chemical_formula_sum 'Si2 Au8'
_cell_length_a 5.729
_cell_length_b 5.729
_cell_length_c 5.729
_cell_angle_alpha 90.00
_cell_angle_beta 90.00
_cell_angle_gamma 90.00
_space_group_name_H-M_alt 'I m -3 m'
_space_group_IT_number 229
_space_group_name_Hall '-I 4 2 3'
loop_
_atom_site_label
_atom_site_fract_x
_atom_site_fract_y
_atom_site_fract_z
_atom_site_occupancy
Si1 0.000 0.000 0.000 1
Au1 0.250 0.250 0.250 1
```


No. 3
First-principles (SCAN) data for DyCuPb at its PBEsol-relaxed geometry, as listed in Alexandria via LeMat-Bulk.

Output
Crystal system: hexagonal
Formation enthalpy at 0 K in eV per atom: -0.51

Cell and atoms, written as CIF:
```
data_DyCuPb
_chemical_formula_sum 'Dy2 Cu2 Pb2'
_cell_length_a 4.5439
_cell_length_b 4.5439
_cell_length_c 7.2359
_cell_angle_alpha 90.00
_cell_angle_beta 90.00
_cell_angle_gamma 120.00
_space_group_name_H-M_alt 'P 63/m m c'
_space_group_IT_number 194
_space_group_name_Hall '-P 6c 2c'
loop_
_atom_site_label
_atom_site_fract_x
_atom_site_fract_y
_atom_site_fract_z
_atom_site_occupancy
Dy1 0.0000 0.0000 0.0000 1
Cu1 0.3333 0.6667 0.2500 1
Pb1 0.3333 0.6667 0.7500 1
```


No. 4
First-principles (SCAN) data for KLi2MnSe at its PBEsol-relaxed geometry, as listed in Alexandria via LeMat-Bulk.

Output
Crystal system: tetragonal
Uncorrected energy in eV for the cell shown: -52.7

Cell and atoms, written as CIF:
```
data_KLi2MnSe
_chemical_formula_sum 'K1 Li2 Mn1 Se1'
_cell_length_a 5.041
_cell_length_b 5.041
_cell_length_c 4.759
_cell_angle_alpha 90.00
_cell_angle_beta 90.00
_cell_angle_gamma 90.00
_space_group_name_H-M_alt 'P 4/m m m'
_space_group_IT_number 123
_space_group_name_Hall '-P 4 2'
loop_
_atom_site_label
_atom_site_fract_x
_atom_site_fract_y
_atom_site_fract_z
_atom_site_occupancy
K1 0.000 0.000 0.000 1
Li1 0.000 0.500 0.500 1
Mn1 0.500 0.500 0.000 1
Se1 0.500 0.500 0.500 1
```


No. 5
First-principles (SCAN) data for GaI3Cl at its PBEsol-relaxed geometry, as listed in Alexandria via LeMat-Bulk.

Output
Crystal system: cubic
Uncorrected energy in eV for the cell shown: -133.3

Cell and atoms, written as CIF:
```
data_GaI3Cl
_chemical_formula_sum 'Ga1 I3 Cl1'
_cell_length_a 5.649
_cell_length_b 5.649
_cell_length_c 5.649
_cell_angle_alpha 90.00
_cell_angle_beta 90.00
_cell_angle_gamma 90.00
_space_group_name_H-M_alt 'P m -3 m'
_space_group_IT_number 221
_space_group_name_Hall '-P 4 2 3'
loop_
_atom_site_label
_atom_site_fract_x
_atom_site_fract_y
_atom_site_fract_z
_atom_site_occupancy
Ga1 0.000 0.000 0.000 1
I1 0.000 0.500 0.500 1
Cl1 0.500 0.500 0.500 1
```


No. 6
First-principles (SCAN) data for MgInCl2 at its PBEsol-relaxed geometry, as listed in Alexandria via LeMat-Bulk.

Output
Crystal system: monoclinic
Energy above the lowest structure with this stoichiometry in eV per atom: 0.000

Cell and atoms, written as CIF:
```
data_MgInCl2
_chemical_formula_sum 'Mg2 In2 Cl4'
_cell_length_a 6.034
_cell_length_b 3.486
_cell_length_c 10.647
_cell_angle_alpha 90.00
_cell_angle_beta 101.99
_cell_angle_gamma 90.00
_space_group_name_H-M_alt 'C 1 2/m 1'
_space_group_IT_number 12
_space_group_name_Hall '-C 2y'
loop_
_atom_site_label
_atom_site_fract_x
_atom_site_fract_y
_atom_site_fract_z
_atom_site_occupancy
Mg1 0.000 0.000 0.000 1
In1 0.000 0.500 0.500 1
Cl1 0.116 0.500 0.863 1
```


No. 7
First-principles (SCAN) data for Co7Te at its PBEsol-relaxed geometry, as listed in Alexandria via LeMat-Bulk.

Output
Crystal system: cubic
Uncorrected energy in eV for the cell shown: -626.6

Cell and atoms, written as CIF:
```
data_Co7Te
_chemical_formula_sum 'Co28 Te4'
_cell_length_a 7.120
_cell_length_b 7.120
_cell_length_c 7.120
_cell_angle_alpha 90.00
_cell_angle_beta 90.00
_cell_angle_gamma 90.00
_space_group_name_H-M_alt 'F m -3 m'
_space_group_IT_number 225
_space_group_name_Hall '-F 4 2 3'
loop_
_atom_site_label
_atom_site_fract_x
_atom_site_fract_y
_atom_site_fract_z
_atom_site_occupancy
Co1 0.000 0.000 0.000 1
Co2 0.000 0.250 0.250 1
Te1 0.000 0.000 0.500 1
```


No. 8
First-principles (SCAN) data for Zr2RhSe at its PBEsol-relaxed geometry, as listed in Alexandria via LeMat-Bulk.

Output
Crystal system: orthorhombic
Uncorrected energy in eV for the cell shown: -238.3

Cell and atoms, written as CIF:
```
data_Zr2RhSe
_chemical_formula_sum 'Zr4 Rh2 Se2'
_cell_length_a 3.857
_cell_length_b 3.471
_cell_length_c 10.806
_cell_angle_alpha 90.00
_cell_angle_beta 90.00
_cell_angle_gamma 90.00
_space_group_name_H-M_alt 'A m m 2'
_space_group_IT_number 38
_space_group_name_Hall 'A 2 -2'
loop_
_atom_site_label
_atom_site_fract_x
_atom_site_fract_y
_atom_site_fract_z
_atom_site_occupancy
Zr1 0.000 0.000 0.000 1
Zr2 0.500 0.000 0.317 1
Rh1 0.000 0.000 0.731 1
Se1 0.500 0.000 0.574 1
```


No. 9
First-principles (SCAN) data for TlIn2Cu at its PBEsol-relaxed geometry, as listed in Alexandria via LeMat-Bulk.

Output
Crystal system: orthorhombic
Formation enthalpy at 0 K in eV per atom: 0.12

Cell and atoms, written as CIF:
```
data_TlIn2Cu
_chemical_formula_sum 'Tl2 In4 Cu2'
_cell_length_a 3.180
_cell_length_b 4.398
_cell_length_c 12.992
_cell_angle_alpha 90.00
_cell_angle_beta 90.00
_cell_angle_gamma 90.00
_space_group_name_H-M_alt 'I m m 2'
_space_group_IT_number 44
_space_group_name_Hall 'I 2 -2'
loop_
_atom_site_label
_atom_site_fract_x
_atom_site_fract_y
_atom_site_fract_z
_atom_site_occupancy
Tl1 0.000 0.000 0.000 1
In1 0.000 0.000 0.368 1
In2 0.000 0.500 0.187 1
Cu1 0.000 0.500 0.692 1
```


No. 10
First-principles (SCAN) data for Ba2TlCu2 at its PBEsol-relaxed geometry, as listed in Alexandria via LeMat-Bulk.

Output
Crystal system: tetragonal
Formation enthalpy at 0 K in eV per atom: -0.10

Cell and atoms, written as CIF:
```
data_Ba2TlCu2
_chemical_formula_sum 'Ba4 Tl2 Cu4'
_cell_length_a 8.070
_cell_length_b 8.070
_cell_length_c 4.351
_cell_angle_alpha 90.00
_cell_angle_beta 90.00
_cell_angle_gamma 90.00
_space_group_name_H-M_alt 'P 4/m b m'
_space_group_IT_number 127
_space_group_name_Hall '-P 4 2ab'
loop_
_atom_site_label
_atom_site_fract_x
_atom_site_fract_y
_atom_site_fract_z
_atom_site_occupancy
Ba1 0.186 0.314 0.000 1
Tl1 0.000 0.000 0.500 1
Cu1 0.106 0.606 0.500 1
```


No. 11
First-principles (SCAN) data for BaTl2Cl at its PBEsol-relaxed geometry, as listed in Alexandria via LeMat-Bulk.

Output
Crystal system: tetragonal
Energy above the lowest structure with this stoichiometry in eV per atom: 0.017

Cell and atoms, written as CIF:
```
data_BaTl2Cl
_chemical_formula_sum 'Ba1 Tl2 Cl1'
_cell_length_a 4.358
_cell_length_b 4.358
_cell_length_c 6.837
_cell_angle_alpha 90.00
_cell_angle_beta 90.00
_cell_angle_gamma 90.00
_space_group_name_H-M_alt 'P 4/m m m'
_space_group_IT_number 123
_space_group_name_Hall '-P 4 2'
loop_
_atom_site_label
_atom_site_fract_x
_atom_site_fract_y
_atom_site_fract_z
_atom_site_occupancy
Ba1 0.000 0.000 0.000 1
Tl1 0.000 0.500 0.500 1
Cl1 0.500 0.500 0.000 1
```


No. 12
First-principles (SCAN) data for SrRePt at its PBEsol-relaxed geometry, as listed in Alexandria via LeMat-Bulk.

Output
Crystal system: cubic
Formation enthalpy at 0 K in eV per atom: 1.80

Cell and atoms, written as CIF:
```
data_SrRePt
_chemical_formula_sum 'Sr4 Re4 Pt4'
_cell_length_a 6.587
_cell_length_b 6.587
_cell_length_c 6.587
_cell_angle_alpha 90.00
_cell_angle_beta 90.00
_cell_angle_gamma 90.00
_space_group_name_H-M_alt 'F -4 3 m'
_space_group_IT_number 216
_space_group_name_Hall 'F -4 2 3'
loop_
_atom_site_label
_atom_site_fract_x
_atom_site_fract_y
_atom_site_fract_z
_atom_site_occupancy
Sr1 0.000 0.000 0.000 1
Re1 0.250 0.250 0.250 1
Pt1 0.250 0.250 0.750 1
```


No. 13
First-principles (SCAN) data for KBeW2 at its PBEsol-relaxed geometry, as listed in Alexandria via LeMat-Bulk.

Output
Crystal system: cubic
Formation enthalpy at 0 K in eV per atom: 1.72

Cell and atoms, written as CIF:
```
data_KBeW2
_chemical_formula_sum 'K4 Be4 W8'
_cell_length_a 6.416
_cell_length_b 6.416
_cell_length_c 6.416
_cell_angle_alpha 90.00
_cell_angle_beta 90.00
_cell_angle_gamma 90.00
_space_group_name_H-M_alt 'F -4 3 m'
_space_group_IT_number 216
_space_group_name_Hall 'F -4 2 3'
loop_
_atom_site_label
_atom_site_fract_x
_atom_site_fract_y
_atom_site_fract_z
_atom_site_occupancy
K1 0.000 0.000 0.000 1
Be1 0.250 0.250 0.750 1
W1 0.000 0.000 0.500 1
W2 0.250 0.250 0.250 1
```


No. 14
First-principles (SCAN) data for CaY2 at its PBEsol-relaxed geometry, as listed in Alexandria via LeMat-Bulk.

Output
Crystal system: tetragonal
Formation enthalpy at 0 K in eV per atom: 0.09
Energy above the lowest structure with this stoichiometry in eV per atom: 0.017

Cell and atoms, written as CIF:
```
data_CaY2
_chemical_formula_sum 'Ca2 Y4'
_cell_length_a 3.596
_cell_length_b 3.596
_cell_length_c 15.382
_cell_angle_alpha 90.00
_cell_angle_beta 90.00
_cell_angle_gamma 90.00
_space_group_name_H-M_alt 'I 4/m m m'
_space_group_IT_number 139
_space_group_name_Hall '-I 4 2'
loop_
_atom_site_label
_atom_site_fract_x
_atom_site_fract_y
_atom_site_fract_z
_atom_site_occupancy
Ca1 0.000 0.000 0.000 1
Y1 0.000 0.000 0.324 1
```


No. 15
First-principles (SCAN) data for KSnPS2 at its PBEsol-relaxed geometry, as listed in Alexandria via LeMat-Bulk.

Output
Crystal system: tetragonal
Uncorrected energy in eV for the cell shown: -74.0

Cell and atoms, written as CIF:
```
data_KSnPS2
_chemical_formula_sum 'K1 Sn1 P1 S2'
_cell_length_a 5.119
_cell_length_b 5.119
_cell_length_c 5.013
_cell_angle_alpha 90.00
_cell_angle_beta 90.00
_cell_angle_gamma 90.00
_space_group_name_H-M_alt 'P 4/m m m'
_space_group_IT_number 123
_space_group_name_Hall '-P 4 2'
loop_
_atom_site_label
_atom_site_fract_x
_atom_site_fract_y
_atom_site_fract_z
_atom_site_occupancy
K1 0.000 0.000 0.000 1
Sn1 0.500 0.500 0.500 1
P1 0.500 0.500 0.000 1
S1 0.000 0.500 0.500 1
```


No. 16
First-principles (SCAN) data for GaAgN3 at its PBEsol-relaxed geometry, as listed in Alexandria via LeMat-Bulk.

Output
Crystal system: cubic
Uncorrected energy in eV for the cell shown: -64.3

Cell and atoms, written as CIF:
```
data_GaAgN3
_chemical_formula_sum 'Ga1 Ag1 N3'
_cell_length_a 4.043
_cell_length_b 4.043
_cell_length_c 4.043
_cell_angle_alpha 90.00
_cell_angle_beta 90.00
_cell_angle_gamma 90.00
_space_group_name_H-M_alt 'P m -3 m'
_space_group_IT_number 221
_space_group_name_Hall '-P 4 2 3'
loop_
_atom_site_label
_atom_site_fract_x
_atom_site_fract_y
_atom_site_fract_z
_atom_site_occupancy
Ga1 0.000 0.000 0.000 1
Ag1 0.500 0.500 0.500 1
N1 0.000 0.500 0.500 1
```


No. 17
First-principles (SCAN) data for ZrFe2Re at its PBEsol-relaxed geometry, as listed in Alexandria via LeMat-Bulk.

Output
Crystal system: orthorhombic
Formation enthalpy at 0 K in eV per atom: 0.07

Cell and atoms, written as CIF:
```
data_ZrFe2Re
_chemical_formula_sum 'Zr2 Fe4 Re2'
_cell_length_a 3.163
_cell_length_b 4.346
_cell_length_c 8.315
_cell_angle_alpha 90.00
_cell_angle_beta 90.00
_cell_angle_gamma 90.00
_space_group_name_H-M_alt 'I m m m'
_space_group_IT_number 71
_space_group_name_Hall '-I 2 2'
loop_
_atom_site_label
_atom_site_fract_x
_atom_site_fract_y
_atom_site_fract_z
_atom_site_occupancy
Zr1 0.000 0.000 0.000 1
Fe1 0.000 0.500 0.240 1
Re1 0.000 0.000 0.500 1
```


No. 18
First-principles (SCAN) data for CuTcSnCl2 at its PBEsol-relaxed geometry, as listed in Alexandria via LeMat-Bulk.

Output
Crystal system: tetragonal
Uncorrected energy in eV for the cell shown: -99.8

Cell and atoms, written as CIF:
```
data_CuTcSnCl2
_chemical_formula_sum 'Cu1 Tc1 Sn1 Cl2'
_cell_length_a 4.384
_cell_length_b 4.384
_cell_length_c 5.741
_cell_angle_alpha 90.00
_cell_angle_beta 90.00
_cell_angle_gamma 90.00
_space_group_name_H-M_alt 'P 4/m m m'
_space_group_IT_number 123
_space_group_name_Hall '-P 4 2'
loop_
_atom_site_label
_atom_site_fract_x
_atom_site_fract_y
_atom_site_fract_z
_atom_site_occupancy
Cu1 0.000 0.000 0.000 1
Tc1 0.500 0.500 0.500 1
Sn1 0.000 0.000 0.500 1
Cl1 0.000 0.500 0.000 1
```


No. 19
First-principles (SCAN) data for MgHgOs2 at its PBEsol-relaxed geometry, as listed in Alexandria via LeMat-Bulk.

Output
Crystal system: monoclinic
Formation enthalpy at 0 K in eV per atom: 0.54

Cell and atoms, written as CIF:
```
data_MgHgOs2
_chemical_formula_sum 'Mg1 Hg1 Os2'
_cell_length_a 2.815
_cell_length_b 4.750
_cell_length_c 4.841
_cell_angle_alpha 90.00
_cell_angle_beta 90.29
_cell_angle_gamma 90.00
_space_group_name_H-M_alt 'P 1 2/m 1'
_space_group_IT_number 10
_space_group_name_Hall '-P 2y'
loop_
_atom_site_label
_atom_site_fract_x
_atom_site_fract_y
_atom_site_fract_z
_atom_site_occupancy
Mg1 0.000 0.000 0.000 1
Hg1 0.500 0.000 0.500 1
Os1 0.278 0.500 0.775 1
```


No. 20
First-principles (SCAN) data for KSi2Mo at its PBEsol-relaxed geometry, as listed in Alexandria via LeMat-Bulk.

Output
Crystal system: monoclinic
Energy above the lowest structure with this stoichiometry in eV per atom: 0.036

Cell and atoms, written as CIF:
```
data_KSi2Mo
_chemical_formula_sum 'K2 Si4 Mo2'
_cell_length_a 8.359
_cell_length_b 3.205
_cell_length_c 6.724
_cell_angle_alpha 90.00
_cell_angle_beta 101.79
_cell_angle_gamma 90.00
_space_group_name_H-M_alt 'C 1 2/m 1'
_space_group_IT_number 12
_space_group_name_Hall '-C 2y'
loop_
_atom_site_label
_atom_site_fract_x
_atom_site_fract_y
_atom_site_fract_z
_atom_site_occupancy
K1 0.000 0.000 0.000 1
Si1 0.227 0.000 0.626 1
Mo1 0.000 0.500 0.500 1
```


| no. | density of states at the Fermi level (states/eV/f.u.) |
| --- | --- |
| 1 | 1.3 |
| 2 | 2.0 |
| 3 | 1.0 |
| 4 | 2.0 |
| 5 | 3.1 |
| 6 | 0.7 |
| 7 | 5.3 |
| 8 | 2.4 |
| 9 | 1.3 |
| 10 | 3.2 |
| 11 | 2.8 |
| 12 | 1.6 |
| 13 | 2.9 |
| 14 | 4.5 |
| 15 | 2.4 |
| 16 | 1.6 |
| 17 | 2.8 |
| 18 | 1.5 |
| 19 | 3.2 |
| 20 | 1.0 |